VASP calculation (PBE-GGA) on a relaxed structure of Pm2Nd2DyEr2.

Results
Spin magnetization   0.00 μB/cell
DFT formation energy   0.13 eV per atom
Raw total energy   -4.553 eV per atom
Space group   R-3m (166)

Cell: 8.8444 8.8444 8.8444 Å, 37.80 37.80 37.80°
Closest atoms and distances in Å follow each position.
Atoms (fractional coordinates):
Pm 0.2164 0.2164 0.2164  4 Er 3.49-3.56, 3 Dy 3.53, 1 Nd 3.57
Pm 0.7836 0.7836 0.7836  4 Er 3.49-3.56, 3 Dy 3.53, 1 Nd 3.57
Nd 0.3613 0.3613 0.3613  1 Dy 3.41, 3 Er 3.48, 1 Pm 3.57, 3 Nd 3.58
Nd 0.6387 0.6387 0.6387  1 Dy 3.41, 3 Er 3.48, 1 Pm 3.57, 3 Nd 3.58
Dy 0.5000 0.5000 0.5000  2 Nd 3.41, 6 Pm 3.53
Er 0.0719 0.0719 0.0719  3 Nd 3.48, 4 Pm 3.49-3.56, 1 Er 3.54
Er 0.9281 0.9281 0.9281  3 Nd 3.48, 4 Pm 3.49-3.56, 1 Er 3.54